[1]
DFT (GGA-PBE) results for RbTcPd after structural relaxation.

Structure (CIF):
```
data_RbTcPd
_chemical_formula_sum 'Rb4 Tc4 Pd4'
_cell_length_a 13.372
_cell_length_b 4.930
_cell_length_c 4.597
_cell_angle_alpha 90.00
_cell_angle_beta 90.00
_cell_angle_gamma 90.00
_symmetry_space_group_name_H-M 'P n m a'
_symmetry_Int_Tables_number 62
_symmetry_space_group_name_Hall '-P 2ac 2n'
loop_
_atom_site_label
_atom_site_type_symbol
_atom_site_fract_x
_atom_site_fract_y
_atom_site_fract_z
Rb1 Rb 0.213 0.250 0.001
Tc1 Tc 0.000 0.000 0.500
Pd1 Pd 0.049 0.750 0.000
```

Properties
- ΔH_f (0 K): 609.9 meV/atom
- Calculated total energy: -4.899 eV per atom
- Offset from the most stable computed form: 0.3385 eV/atom

***

[2]
DFT (GGA-PBE) results for RbTcPd after structural relaxation.

Structure (CIF):
```
data_RbTcPd
_chemical_formula_sum 'Rb2 Tc2 Pd2'
_cell_length_a 4.058
_cell_length_b 4.314
_cell_length_c 12.178
_cell_angle_alpha 92.00
_cell_angle_beta 92.84
_cell_angle_gamma 117.91
_symmetry_space_group_name_H-M 'P 1'
_symmetry_Int_Tables_number 1
_symmetry_space_group_name_Hall 'P 1'
loop_
_atom_site_label
_atom_site_type_symbol
_atom_site_fract_x
_atom_site_fract_y
_atom_site_fract_z
Rb1 Rb 0.000 0.000 0.000
Rb2 Rb 0.218 0.628 0.381
Tc1 Tc 0.605 0.331 0.610
Tc2 Tc 0.942 0.999 0.625
Pd1 Pd 0.294 0.670 0.738
Pd2 Pd 0.635 0.325 0.823
```

Properties
- ΔH_f (0 K): 479.4 meV/atom
- Calculated total energy: -5.029 eV per atom
- Offset from the most stable computed form: 0.2080 eV/atom

***

[3]
DFT (GGA-PBE) results for RbTcPd after structural relaxation.

Structure (CIF):
```
data_RbTcPd
_chemical_formula_sum 'Rb2 Tc2 Pd2'
_cell_length_a 4.8965
_cell_length_b 4.8965
_cell_length_c 8.1356
_cell_angle_alpha 90.00
_cell_angle_beta 90.00
_cell_angle_gamma 120.00
_symmetry_space_group_name_H-M 'P -6 m 2'
_symmetry_Int_Tables_number 187
_symmetry_space_group_name_Hall 'P -6 2'
loop_
_atom_site_label
_atom_site_type_symbol
_atom_site_fract_x
_atom_site_fract_y
_atom_site_fract_z
Rb1 Rb 0.0000 0.0000 0.0000
Rb2 Rb 0.0000 0.0000 0.5000
Tc1 Tc 0.6667 0.3333 0.1328
Pd1 Pd 0.3333 0.6667 0.1672
```

Properties
- ΔH_f (0 K): 1003.8 meV/atom
- Calculated total energy: -4.505 eV per atom
- Offset from the most stable computed form: 0.7324 eV/atom

***

[4]
DFT (GGA-PBE) results for RbTcPd after structural relaxation.

Structure (CIF):
```
data_RbTcPd
_chemical_formula_sum 'Rb2 Tc2 Pd2'
_cell_length_a 4.244
_cell_length_b 4.245
_cell_length_c 12.229
_cell_angle_alpha 81.71
_cell_angle_beta 81.18
_cell_angle_gamma 60.01
_symmetry_space_group_name_H-M 'P -1'
_symmetry_Int_Tables_number 2
_symmetry_space_group_name_Hall '-P 1'
loop_
_atom_site_label
_atom_site_type_symbol
_atom_site_fract_x
_atom_site_fract_y
_atom_site_fract_z
Rb1 Rb 0.239 0.256 0.303
Tc1 Tc 0.334 0.334 0.998
Pd1 Pd 0.036 0.030 0.885
```

Properties
- ΔH_f (0 K): 271.4 meV/atom
- Calculated total energy: -5.237 eV per atom
- Offset from the most stable computed form: 0.0000 eV/atom

***

[5]
DFT (GGA-PBE) results for RbTcPd3 after structural relaxation.

Structure (CIF):
```
data_RbTcPd3
_chemical_formula_sum 'Rb1 Tc1 Pd3'
_cell_length_a 4.946
_cell_length_b 4.946
_cell_length_c 4.946
_cell_angle_alpha 90.00
_cell_angle_beta 90.00
_cell_angle_gamma 90.00
_symmetry_space_group_name_H-M 'P m -3 m'
_symmetry_Int_Tables_number 221
_symmetry_space_group_name_Hall '-P 4 2 3'
loop_
_atom_site_label
_atom_site_type_symbol
_atom_site_fract_x
_atom_site_fract_y
_atom_site_fract_z
Rb1 Rb 0.000 0.000 0.000
Tc1 Tc 0.500 0.500 0.500
Pd1 Pd 0.000 0.500 0.500
```

Properties
- ΔH_f (0 K): 792.9 meV/atom
- Calculated total energy: -4.589 eV per atom
- Offset from the most stable computed form: 0.0000 eV/atom

***

[6]
DFT (GGA-PBE) results for RbTcPd after structural relaxation.

Structure (CIF):
```
data_RbTcPd
_chemical_formula_sum 'Rb4 Tc4 Pd4'
_cell_length_a 5.594
_cell_length_b 4.682
_cell_length_c 10.635
_cell_angle_alpha 90.00
_cell_angle_beta 90.00
_cell_angle_gamma 90.00
_symmetry_space_group_name_H-M 'P n m a'
_symmetry_Int_Tables_number 62
_symmetry_space_group_name_Hall '-P 2ac 2n'
loop_
_atom_site_label
_atom_site_type_symbol
_atom_site_fract_x
_atom_site_fract_y
_atom_site_fract_z
Rb1 Rb 0.004 0.250 0.112
Tc1 Tc 0.003 0.750 0.311
Pd1 Pd 0.004 0.250 0.438
```

Properties
- ΔH_f (0 K): 1122.9 meV/atom
- Calculated total energy: -4.386 eV per atom
- Offset from the most stable computed form: 0.8515 eV/atom